A plane-wave DFT calculation with PBE was carried out for MnZnCl2 after structural relaxation.

```
data_MnZnCl2
_chemical_formula_sum 'Mn1 Zn1 Cl2'
_symmetry_space_group_name_H-M 'P 1'
_symmetry_Int_Tables_number 1
_symmetry_space_group_name_Hall 'P 1'
_cell_length_a 3.171
_cell_length_b 3.171
_cell_length_c 8.305
_cell_angle_alpha 90.00
_cell_angle_beta 90.00
_cell_angle_gamma 90.00
loop_
_atom_site_label
_atom_site_fract_x
_atom_site_fract_y
_atom_site_fract_z
_atom_site_occupancy
Zn1 0.500 0.500 0.742 1
Mn1 0.000 0.000 0.507 1
Cl1 0.000 0.000 0.912 1
Cl2 0.500 0.500 0.339 1
```

Properties
E_tot: -0.142 hartree per atom
ΔE_f (raw): -0.3407 eV per atom
space-group type: P4mm (99)
relative energy among the computed polymorphs: 0.96 eV/f.u.
crystal system: tetragonal